Entry 1:
Crystalline PaSbAu at its relaxed geometry, computed with PBE-GGA.

```
data_PaSbAu
_cell_length_a 3.935
_cell_length_b 3.935
_cell_length_c 5.471
_cell_angle_alpha 111.08
_cell_angle_beta 111.08
_cell_angle_gamma 90.00
_symmetry_space_group_name_H-M 'P 1'
_symmetry_Int_Tables_number 1
loop_
_symmetry_equiv_pos_as_xyz
'x,y,z'
loop_
_atom_site_label
_atom_site_fract_x
_atom_site_fract_y
_atom_site_fract_z
_atom_site_occupancy
Au1 0.000 0.000 0.999 1
Sb1 0.668 0.668 0.336 1
Pa1 0.332 0.332 0.665 1
```

formation energy from raw total energies	-0.981	eV/f.u.

Entry 2:
Crystalline Pm2PrNd4Tm2 at its relaxed geometry, computed with PBE-GGA.

```
data_Pm2PrNd4Tm2
_cell_length_a 5.143
_cell_length_b 8.138
_cell_length_c 8.113
_cell_angle_alpha 107.52
_cell_angle_beta 90.00
_cell_angle_gamma 108.42
_symmetry_space_group_name_H-M 'P 1'
_symmetry_Int_Tables_number 1
loop_
_symmetry_equiv_pos_as_xyz
'x,y,z'
loop_
_atom_site_label
_atom_site_fract_x
_atom_site_fract_y
_atom_site_fract_z
_atom_site_occupancy
Nd1 0.445 0.890 0.669 1
Pm1 0.888 0.776 0.332 1
Nd2 0.555 0.110 0.331 1
Nd3 0.778 0.555 0.670 1
Pm2 0.112 0.224 0.668 1
Nd4 0.222 0.445 0.330 1
Tm1 0.332 0.663 0.001 1
Tm2 0.668 0.337 0.999 1
Pr1 0.000 0.000 0.000 1
```

energy of formation from the pure elements	16.9	kJ/mol of formula units

Entry 3:
Crystalline Ce3SiRu2 at its relaxed geometry, computed with PBE-GGA.

```
data_Ce3SiRu2
_cell_length_a 7.240
_cell_length_b 7.240
_cell_length_c 7.240
_cell_angle_alpha 144.63
_cell_angle_beta 144.85
_cell_angle_gamma 50.72
_symmetry_space_group_name_H-M 'P 1'
_symmetry_Int_Tables_number 1
loop_
_symmetry_equiv_pos_as_xyz
'x,y,z'
loop_
_atom_site_label
_atom_site_fract_x
_atom_site_fract_y
_atom_site_fract_z
_atom_site_occupancy
Si1 0.000 0.000 0.000 1
Ce1 0.319 0.819 0.500 1
Ce2 0.500 0.500 0.000 1
Ce3 0.681 0.181 0.500 1
Ru1 0.861 0.361 0.500 1
Ru2 0.139 0.639 0.500 1
```

formation energy from raw total energies	-3.053	eV/f.u.

Entry 4:
Crystalline SiSe5 at its relaxed geometry, computed with PBE-GGA.

```
data_SiSe5
_cell_length_a 3.136
_cell_length_b 3.136
_cell_length_c 14.001
_cell_angle_alpha 90.00
_cell_angle_beta 90.00
_cell_angle_gamma 90.00
_symmetry_space_group_name_H-M 'P 1'
_symmetry_Int_Tables_number 1
loop_
_symmetry_equiv_pos_as_xyz
'x,y,z'
loop_
_atom_site_label
_atom_site_fract_x
_atom_site_fract_y
_atom_site_fract_z
_atom_site_occupancy
Se1 0.000 0.000 0.882 1
Se2 0.000 0.000 0.500 1
Se3 0.500 0.500 0.368 1
Si1 0.500 0.500 0.000 1
Se4 0.500 0.500 0.632 1
Se5 0.000 0.000 0.118 1
```

energy above the most stable polymorph in this dataset	56.3	kJ/mol of atoms
formation energy from raw total energies	3.222	eV/f.u.

Entry 5:
Crystalline AlSb2W at its relaxed geometry, computed with PBE-GGA.

```
data_AlSb2W
_cell_length_a 9.964
_cell_length_b 9.964
_cell_length_c 9.964
_cell_angle_alpha 18.72
_cell_angle_beta 18.72
_cell_angle_gamma 18.72
_symmetry_space_group_name_H-M 'P 1'
_symmetry_Int_Tables_number 1
loop_
_symmetry_equiv_pos_as_xyz
'x,y,z'
loop_
_atom_site_label
_atom_site_fract_x
_atom_site_fract_y
_atom_site_fract_z
_atom_site_occupancy
Sb1 0.512 0.512 0.512 1
W1 0.250 0.250 0.250 1
Al1 0.750 0.750 0.750 1
Sb2 0.988 0.988 0.988 1
```

formation energy from raw total energies	1.775	eV/f.u.

Entry 6:
Crystalline SmThCuSn at its relaxed geometry, computed with PBE-GGA.

```
data_SmThCuSn
_cell_length_a 5.280
_cell_length_b 5.280
_cell_length_c 5.280
_cell_angle_alpha 60.00
_cell_angle_beta 60.00
_cell_angle_gamma 60.00
_symmetry_space_group_name_H-M 'P 1'
_symmetry_Int_Tables_number 1
loop_
_symmetry_equiv_pos_as_xyz
'x,y,z'
loop_
_atom_site_label
_atom_site_fract_x
_atom_site_fract_y
_atom_site_fract_z
_atom_site_occupancy
Cu1 0.000 0.000 0.000 1
Sm1 0.250 0.250 0.250 1
Th1 0.750 0.750 0.750 1
Sn1 0.500 0.500 0.500 1
```

energy of formation from the pure elements	-114.4	kJ/mol of formula units

Entry 7:
Crystalline YScSbTe at its relaxed geometry, computed with PBE-GGA.

```
data_YScSbTe
_cell_length_a 4.196
_cell_length_b 4.196
_cell_length_c 7.701
_cell_angle_alpha 90.00
_cell_angle_beta 105.80
_cell_angle_gamma 120.00
_symmetry_space_group_name_H-M 'P 1'
_symmetry_Int_Tables_number 1
loop_
_symmetry_equiv_pos_as_xyz
'x,y,z'
loop_
_atom_site_label
_atom_site_fract_x
_atom_site_fract_y
_atom_site_fract_z
_atom_site_occupancy
Sb1 0.316 0.556 0.887 1
Y1 0.479 0.138 0.632 1
Te1 0.959 0.377 0.351 1
Sc1 0.124 0.960 0.099 1
```

formation energy from raw total energies	-4.542	eV/f.u.

Entry 8:
Crystalline LiBe2As2 at its relaxed geometry, computed with PBE-GGA.

```
data_LiBe2As2
_cell_length_a 3.626
_cell_length_b 3.626
_cell_length_c 6.639
_cell_angle_alpha 74.15
_cell_angle_beta 74.15
_cell_angle_gamma 90.00
_symmetry_space_group_name_H-M 'P 1'
_symmetry_Int_Tables_number 1
loop_
_symmetry_equiv_pos_as_xyz
'x,y,z'
loop_
_atom_site_label
_atom_site_fract_x
_atom_site_fract_y
_atom_site_fract_z
_atom_site_occupancy
Be1 0.250 0.750 0.500 1
Be2 0.750 0.250 0.500 1
Li1 0.000 0.000 0.000 1
As1 0.635 0.635 0.730 1
As2 0.365 0.365 0.270 1
```

energy above the most stable polymorph in this dataset	0.0	kJ/mol of atoms
energy of formation from the pure elements	-110.8	kJ/mol of formula units

Entry 9:
Crystalline HfHIO2 at its relaxed geometry, computed with PBE-GGA.

```
data_HfHIO2
_cell_length_a 3.980
_cell_length_b 3.980
_cell_length_c 6.218
_cell_angle_alpha 90.00
_cell_angle_beta 90.00
_cell_angle_gamma 90.00
_symmetry_space_group_name_H-M 'P 1'
_symmetry_Int_Tables_number 1
loop_
_symmetry_equiv_pos_as_xyz
'x,y,z'
loop_
_atom_site_label
_atom_site_fract_x
_atom_site_fract_y
_atom_site_fract_z
_atom_site_occupancy
I1 0.000 0.000 0.500 1
Hf1 0.000 0.000 0.000 1
H1 0.500 0.500 0.500 1
O1 0.000 0.500 0.000 1
O2 0.500 0.000 0.000 1
```

energy above the most stable polymorph in this dataset	0.0	kJ/mol of atoms

Entry 10:
Crystalline Mg4BiPd2 at its relaxed geometry, computed with PBE-GGA.

```
data_Mg4BiPd2
_cell_length_a 4.773
_cell_length_b 4.773
_cell_length_c 14.500
_cell_angle_alpha 90.00
_cell_angle_beta 90.00
_cell_angle_gamma 120.01
_symmetry_space_group_name_H-M 'P 1'
_symmetry_Int_Tables_number 1
loop_
_symmetry_equiv_pos_as_xyz
'x,y,z'
loop_
_atom_site_label
_atom_site_fract_x
_atom_site_fract_y
_atom_site_fract_z
_atom_site_occupancy
Pd1 0.834 0.166 0.938 1
Mg1 0.834 0.166 0.750 1
Mg2 0.833 0.167 0.118 1
Mg3 0.167 0.833 0.618 1
Mg4 0.500 0.500 0.500 1
Mg5 0.166 0.834 0.250 1
Mg6 0.167 0.833 0.882 1
Pd2 0.834 0.166 0.562 1
Pd3 0.166 0.834 0.438 1
Mg7 0.500 0.500 0.000 1
Bi1 0.501 0.499 0.750 1
Pd4 0.166 0.834 0.062 1
Mg8 0.833 0.167 0.382 1
Bi2 0.499 0.501 0.250 1
```

energy of formation from the pure elements	-257.3	kJ/mol of formula units

Entry 11:
Crystalline Be2Au3 at its relaxed geometry, computed with PBE-GGA.

```
data_Be2Au3
_cell_length_a 9.573
_cell_length_b 9.573
_cell_length_c 9.573
_cell_angle_alpha 18.15
_cell_angle_beta 18.15
_cell_angle_gamma 18.15
_symmetry_space_group_name_H-M 'P 1'
_symmetry_Int_Tables_number 1
loop_
_symmetry_equiv_pos_as_xyz
'x,y,z'
loop_
_atom_site_label
_atom_site_fract_x
_atom_site_fract_y
_atom_site_fract_z
_atom_site_occupancy
Au1 0.211 0.211 0.211 1
Be1 0.398 0.398 0.398 1
Be2 0.602 0.602 0.602 1
Au2 0.789 0.789 0.789 1
Au3 0.000 0.000 0.000 1
```

energy above the most stable polymorph in this dataset	11.5	kJ/mol of atoms
energy of formation from the pure elements	7.4	kJ/mol of formula units

Entry 12:
Crystalline FeAsPt at its relaxed geometry, computed with PBE-GGA.

```
data_FeAsPt
_cell_length_a 2.888
_cell_length_b 2.888
_cell_length_c 6.254
_cell_angle_alpha 90.00
_cell_angle_beta 90.00
_cell_angle_gamma 120.00
_symmetry_space_group_name_H-M 'P 1'
_symmetry_Int_Tables_number 1
loop_
_symmetry_equiv_pos_as_xyz
'x,y,z'
loop_
_atom_site_label
_atom_site_fract_x
_atom_site_fract_y
_atom_site_fract_z
_atom_site_occupancy
Pt1 0.333 0.667 0.654 1
As1 0.000 0.000 0.019 1
Fe1 0.667 0.333 0.328 1
```

energy of formation from the pure elements	15.9	kJ/mol of formula units

no.,total energy (eV for the cell shown)
1,-17.9
2,-42.1
3,-44.8
4,-19.6
5,-23.2
6,-21.4
7,-24.6
8,-19.8
9,-30.9
10,-46.6
11,-17.2
12,-19.0